Entry 1:
An optimized crystal structure of MnCo3, computed with GGA-PBEsol.

abc: 3.4470 3.4470 13.7506
angles: 90.00 90.00 90.00
Positions (direct):
Mn (0.0000, 0.0000, 0.1259)
Mn (0.0000, 0.0000, 0.8741)
Mn (0.5000, 0.5000, 0.3741)
Mn (0.5000, 0.5000, 0.6259)
Co (0.0000, 0.0000, 0.3759)
Co (0.0000, 0.0000, 0.6241)
Co (0.0000, 0.5000, 0.0000)
Co (0.0000, 0.5000, 0.2500)
Co (0.0000, 0.5000, 0.5000)
Co (0.0000, 0.5000, 0.7500)
Co (0.5000, 0.0000, 0.0000)
Co (0.5000, 0.0000, 0.2500)
Co (0.5000, 0.0000, 0.5000)
Co (0.5000, 0.0000, 0.7500)
Co (0.5000, 0.5000, 0.1241)
Co (0.5000, 0.5000, 0.8759)

Output
**Calculated formation energy**: 4.1 kJ per mole of atoms

Entry 2:
An optimized crystal structure of LaBiSbTe2, computed with GGA-PBEsol.

abc: 5.9315 5.9315 5.9845
angles: 90.00 90.00 90.00
Positions (direct):
La (0.0000, 0.0000, 0.0000)
Bi (0.5000, 0.5000, 0.5000)
Sb (0.0000, 0.0000, 0.5000)
Te (0.0000, 0.5000, 0.0000)
Te (0.5000, 0.0000, 0.0000)

Output
**ΔE_f (raw)**: 30.4 kJ per mole of atoms

Entry 3:
An optimized crystal structure of CdCuPt, computed with GGA-PBEsol.

abc: 4.3432 4.3432 2.8092
angles: 90.00 90.00 120.00
Positions (direct):
Cd (0.0000, 0.0000, 0.0000)
Cu (0.6667, 0.3333, 0.3769)
Pt (0.3333, 0.6667, 0.5496)

Output
**Calculated formation energy**: -11.4 kJ per mole of atoms